## ScAl2Re2 (PBE)

Data for an optimized crystal structure of ScAl2Re2.

```
data_ScAl2Re2
_chemical_formula_sum 'Sc2 Al4 Re4'
_symmetry_space_group_name_H-M 'I 4/m m m'
_symmetry_Int_Tables_number 139
_symmetry_space_group_name_Hall '-I 4 2'
_cell_length_a 4.078
_cell_length_b 4.078
_cell_length_c 10.931
_cell_angle_alpha 90.00
_cell_angle_beta 90.00
_cell_angle_gamma 90.00
loop_
_atom_site_label
_atom_site_type_symbol
_atom_site_fract_x
_atom_site_fract_y
_atom_site_fract_z
Sc1 Sc 0.000 0.000 0.000
Al1 Al 0.000 0.500 0.250
Re1 Re 0.000 0.000 0.395
```

## Properties
As for the calculated total energy: -7.604 eV per atom.


## BaRe2 (PBE)

Data for an optimized crystal structure of BaRe2.

```
data_BaRe2
_chemical_formula_sum 'Ba4 Re8'
_symmetry_space_group_name_H-M 'P 63/m m c'
_symmetry_Int_Tables_number 194
_symmetry_space_group_name_Hall '-P 6c 2c'
_cell_length_a 5.7236
_cell_length_b 5.7236
_cell_length_c 8.9328
_cell_angle_alpha 90.00
_cell_angle_beta 90.00
_cell_angle_gamma 120.00
loop_
_atom_site_label
_atom_site_type_symbol
_atom_site_fract_x
_atom_site_fract_y
_atom_site_fract_z
Ba1 Ba 0.3333 0.6667 0.0615
Re1 Re 0.0000 0.0000 0.0000
Re2 Re 0.1665 0.3330 0.7500
```

## Properties
As for the calculated total energy: -7.989 eV per atom.